Compound: MgCr2Ir
Source: Alexandria
Functional: PBE
Structure: relaxed

Properties
Total energy ... -7.170 eV per atom
Density ... 9.710 g cm⁻³
DOS at the Fermi energy ... 5.12 states/eV/f.u.
Energy of formation from the pure elements ... 0.2551 eV per atom

Lattice parameters (Å, degrees): 5.0128 8.2735 2.6433 90.00 90.00 90.00
Space group Cmmm (No. 65)
Symmetry-distinct sites (fractional):
Mg (0.0000, 0.0000, 0.0000)
Cr (0.2500, 0.2500, 0.5000)
Ir (0.0000, 0.5000, 0.0000)

Compound: MgCrIr2
Source: Alexandria
Functional: PBE
Structure: relaxed

Properties
Total energy ... -7.177 eV per atom
Density ... 12.834 g cm⁻³
DOS at the Fermi energy ... 4.61 states/eV/f.u.
Energy of formation from the pure elements ... 0.0583 eV per atom

Lattice parameters (Å, degrees): 2.9320 4.3606 4.6627 90.00 90.00 90.00
Space group Pmmm (No. 47)
Symmetry-distinct sites (fractional):
Mg (0.0000, 0.0000, 0.0000)
Cr (0.5000, 0.0000, 0.5000)
Ir (0.0000, 0.5000, 0.5000)
Ir (0.5000, 0.5000, 0.0000)

Compound: MgCr2Ir
Source: Alexandria
Functional: PBE
Structure: relaxed

Properties
Total energy ... -7.272 eV per atom
Density ... 9.398 g cm⁻³
DOS at the Fermi energy ... 3.72 states/eV/f.u.
Energy of formation from the pure elements ... 0.1535 eV per atom

Lattice parameters (Å, degrees): 2.7061 2.7061 7.7335 90.00 90.00 90.00
Space group P4mm (No. 99)
Symmetry-distinct sites (fractional):
Mg (0.0000, 0.0000, 0.0000)
Cr (0.0000, 0.0000, 0.5176)
Cr (0.5000, 0.5000, 0.2850)
Ir (0.5000, 0.5000, 0.7311)

Compound: MgCrIr2
Source: Alexandria
Functional: PBE
Structure: relaxed

Properties
Total energy ... -7.314 eV per atom
Density ... 13.024 g cm⁻³
DOS at the Fermi energy ... 2.67 states/eV/f.u.
Energy of formation from the pure elements ... -0.0788 eV per atom

Lattice parameters (Å, degrees): 8.8416 2.8111 4.8250 90.00 101.58 90.00
Space group C2/m (No. 12)
Symmetry-distinct sites (fractional):
Mg (0.0000, 0.0000, 0.0000)
Cr (0.0000, 0.5000, 0.5000)
Ir (0.2427, 0.0000, 0.7415)

Q: Look up the total energy of the second one.
A: -7.177 eV per atom

Q: The lowest DOS at the Fermi energy belongs to which entry?
A: number 4

Q: The highest density belongs to which entry?
A: number 4